K2Pm2MnO6: relaxed, PBE with a Hubbard U.

a = 5.8590 Å, b = 5.8590 Å, c = 6.5878 Å
α = 97.26°, β = 97.26°, γ = 119.33°
With the nearest neighbours (Å) after each atom.
Sites, in units of the cell vectors:
K (0.8444, 0.1556, 0.0000)  4 O 2.70-2.75
K (0.1556, 0.8444, 0.0000)  4 O 2.70-2.75
Pm (0.3355, 0.6645, 0.5000)  6 O 2.34-2.38
Pm (0.6645, 0.3355, 0.5000)  6 O 2.34-2.38
Mn (0.0000, 0.0000, 0.5000)  6 O 1.99-2.03
O (0.7674, 0.7674, 0.6719)  1 Mn 1.99
O (0.0435, 0.3386, 0.6688)  1 Mn 2.03
O (0.2326, 0.2326, 0.3281)  1 Mn 1.99
O (0.3386, 0.0435, 0.6688)  1 Mn 2.03
O (0.9565, 0.6614, 0.3312)  1 Mn 2.03
O (0.6614, 0.9565, 0.3312)  1 Mn 2.03

**Volume**: 191 Å³/f.u.
**Space group**: C2/m (12)
**Magnetization**: 3.01 μB/cell
**Raw total energy**: -73.7 eV per cell